DFT (PBEsol) results for a geometry-optimized Zr2FeCu structure.

Properties
SG: F-43m
V: 15.46 A^3/atom
E: -7.739 eV per atom
Density of states at the Fermi level: 4.624 states/eV/cell
Formation enthalpy at 0 K: 0.131 eV/atom

```
Zr2FeCu
1.0
4.4389 0.0000 0.0000
2.2194 3.8442 0.0000
2.2194 1.2814 3.6243
Cu Fe Zr
1 1 2
Direct
0.5000 0.5000 0.5000
0.2500 0.2500 0.2500
0.0000 0.0000 0.0000
0.7500 0.7500 0.7500
```



DFT (PBEsol) results for a geometry-optimized Zr2FeCu structure.

Properties
SG: P4/mmm
V: 16.05 A^3/atom
E: -8.026 eV per atom
Density of states at the Fermi level: 3.825 states/eV/cell
Formation enthalpy at 0 K: -0.156 eV/atom

```
Zr2FeCu
1.0
-0.3525 -2.1254 2.2944
2.3539 1.3402 1.6032
-4.2410 3.8979 2.9683
Cu Zr Fe
1 2 1
Direct
0.5000 0.5000 0.0000
0.0004 0.0000 0.7396
0.9996 0.0000 0.2604
0.5000 0.5000 0.5000
```



DFT (PBEsol) results for a geometry-optimized ZrFeCu2 structure.

Properties
SG: Pmmm
V: 13.79 A^3/atom
E: -6.599 eV per atom
Density of states at the Fermi level: 3.590 states/eV/cell
Formation enthalpy at 0 K: 0.081 eV/atom

```
ZrFeCu2
1.0
-1.7635 0.9998 -1.7735
-2.4936 -2.2795 1.1945
-1.6863 3.8655 3.8560
Cu Fe Zr
2 1 1
Direct
0.0000 0.0000 0.7893
0.0000 0.0000 0.2107
0.5000 0.5000 0.0000
0.5000 0.5000 0.5000
```



DFT (PBEsol) results for a geometry-optimized ZrFe2Cu structure.

Properties
SG: Imm2
V: 13.33 A^3/atom
E: -7.824 eV per atom
Density of states at the Fermi level: 2.963 states/eV/cell
Formation enthalpy at 0 K: 0.014 eV/atom

```
ZrFe2Cu
1.0
-1.7991 0.8353 2.9867
-0.4514 -3.7435 0.7750
4.4363 1.4670 0.1100
Cu Fe Zr
1 2 1
Direct
0.7465 0.2465 0.4930
0.9941 0.9941 0.9882
0.2561 0.7561 0.5122
0.5033 0.5033 0.0066
```



DFT (PBEsol) results for a geometry-optimized Zr2FeCu structure.

Properties
SG: Pm
V: 16.23 A^3/atom
E: -8.025 eV per atom
Density of states at the Fermi level: 2.772 states/eV/cell
Formation enthalpy at 0 K: -0.155 eV/atom

```
Zr2FeCu
1.0
-0.4342 2.5800 1.8153
-3.0183 -1.9974 2.1169
3.4469 -2.4797 2.5748
Cu Zr Fe
1 2 1
Direct
0.3196 0.0000 0.4579
0.9768 0.0000 0.9040
0.7742 0.5000 0.3447
0.4294 0.5000 0.7933
```



DFT (PBEsol) results for a geometry-optimized Zr2FeCu structure.

Properties
SG: Imm2
V: 16.13 A^3/atom
E: -7.874 eV per atom
Density of states at the Fermi level: 3.633 states/eV/cell
Formation enthalpy at 0 K: -0.005 eV/atom

```
Zr2FeCu
1.0
-2.1350 2.1188 0.9782
0.5133 -1.3572 4.0600
4.2556 2.8003 -1.8912
Cu Fe Zr
1 1 2
Direct
0.4652 0.4652 0.9303
0.7565 0.2565 0.5131
0.0290 0.0290 0.0579
0.2493 0.7493 0.4987
```



DFT (PBEsol) results for a geometry-optimized Ga2Cu structure.

Properties
SG: P4/mmm
V: 14.98 A^3/atom
E: -3.782 eV per atom
Density of states at the Fermi level: 0.756 states/eV/cell
Formation enthalpy at 0 K: -0.111 eV/atom

```
Ga2Cu
1.0
-2.6387 0.3398 0.8235
-0.5094 -2.6875 -0.5233
1.5201 -1.3446 5.4256
Ga Cu
2 1
Direct
0.5000 0.5000 0.2848
0.5000 0.5000 0.7152
0.0000 0.0000 0.0000
```



DFT (PBEsol) results for a geometry-optimized GaCu3 structure.

Properties
SG: Pm-3m
V: 11.96 A^3/atom
E: -4.201 eV per atom
Density of states at the Fermi level: 1.048 states/eV/cell
Formation enthalpy at 0 K: -0.115 eV/atom

```
GaCu3
1.0
-3.3606 -0.7592 1.1434
0.2640 -3.3252 -1.4321
1.3469 -1.2426 3.1336
Cu Ga
3 1
Direct
0.0000 0.5000 0.5000
0.5000 0.5000 0.0000
0.5000 0.0000 0.5000
0.0000 0.0000 0.0000
```



DFT (PBEsol) results for a geometry-optimized GaCu3 structure.

Properties
SG: I4/mmm
V: 11.97 A^3/atom
E: -4.202 eV per atom
Density of states at the Fermi level: 1.138 states/eV/cell
Formation enthalpy at 0 K: -0.117 eV/atom

```
GaCu3
1.0
-0.6509 -0.0804 3.5608
0.7358 -3.5447 0.0545
3.4716 2.5521 -1.1486
Ga Cu
1 3
Direct
0.0000 0.0000 0.0000
0.5000 0.5000 0.0000
0.7500 0.2500 0.5000
0.2500 0.7500 0.5000
```



DFT (PBEsol) results for a geometry-optimized GaCu3 structure.

Properties
SG: P6_3/mmc
V: 11.96 A^3/atom
E: -4.210 eV per atom
Density of states at the Fermi level: 2.449 states/eV/cell
Formation enthalpy at 0 K: -0.124 eV/atom

```
GaCu3
1.0
-0.5385 4.0325 0.9341
-2.9978 0.5594 -4.1433
-2.0759 -1.3236 4.5172
Ga Cu
2 6
Direct
0.7500 0.3333 0.6667
0.2500 0.6667 0.3333
0.2500 0.6695 0.8347
0.2500 0.1653 0.3305
0.2500 0.1653 0.8347
0.7500 0.3305 0.1653
0.7500 0.8347 0.6695
0.7500 0.8347 0.1653
```



DFT (PBEsol) results for a geometry-optimized Hf2Ga3Cu structure.

Properties
SG: Cm
V: 16.05 A^3/atom
E: -6.382 eV per atom
Density of states at the Fermi level: 2.214 states/eV/cell
Formation enthalpy at 0 K: -0.489 eV/atom

```
Hf2Ga3Cu
1.0
4.0616 0.0000 0.0000
2.0308 4.8883 -0.0207
2.0308 0.7121 4.8489
Hf Ga Cu
2 3 1
Direct
0.5448 0.7119 0.1986
0.4518 0.3005 0.7959
0.8517 0.6841 0.6126
0.8271 0.1359 0.2100
0.1591 0.8880 0.7938
0.1655 0.2797 0.3892
```



DFT (PBEsol) results for a geometry-optimized KHf2GaCu structure.

Properties
SG: P4/mmm
V: 22.19 A^3/atom
E: -3.713 eV per atom
Density of states at the Fermi level: 5.082 states/eV/cell
Formation enthalpy at 0 K: 2.250 eV/atom

```
KHf2GaCu
1.0
4.7302 0.0000 0.0000
0.0000 4.7302 0.0000
0.0000 0.0000 4.9578
K Hf Cu Ga
1 2 1 1
Direct
0.0000 0.0000 0.0000
0.0000 0.5000 0.0000
0.5000 0.0000 0.0000
0.5000 0.5000 0.5000
0.0000 0.0000 0.5000
```